(1)
## Ir2Pb (PBE-GGA)

Data for crystalline Ir2Pb at its relaxed geometry.

a b c (Å): 7.670 7.670 7.670
angles (deg): 90.00 90.00 90.00
Space group Fd-3m (No. 227, origin choice 2)
Unique sites:
Ir  0.000  0.000  0.000 (multiplicity 16)
Pb  0.125  0.125  0.625 (multiplicity 8)

## Properties
As for the raw total energy: -6.724 eV per atom. The calculated density is 17.42 Mg/m³. As for the offset from the most stable computed form: 0.0 meV/atom.

(2)
## Ir17Pb (PBE-GGA)

Data for crystalline Ir17Pb at its relaxed geometry.

a b c (Å): 4.714 5.452 33.496
angles (deg): 90.00 90.01 90.00
Space group P2_1/m (No. 11)
Unique sites:
Ir  0.000  0.000  0.000 (multiplicity 2)
Ir  0.000  0.003  0.200 (multiplicity 4)
Ir  0.166  0.250  0.134 (multiplicity 2)
Ir  0.166  0.250  0.933 (multiplicity 2)
Ir  0.167  0.750  0.933 (multiplicity 2)
Ir  0.168  0.750  0.134 (multiplicity 2)
Ir  0.169  0.250  0.734 (multiplicity 2)
Ir  0.333  0.000  0.866 (multiplicity 4)
Ir  0.333  0.501  0.067 (multiplicity 4)
Ir  0.333  0.502  0.265 (multiplicity 4)
Ir  0.496  0.750  0.799 (multiplicity 2)
Ir  0.499  0.250  0.799 (multiplicity 2)
Ir  0.500  0.250  0.000 (multiplicity 2)
Pb  0.168  0.750  0.699 (multiplicity 2)

## Properties
As for the raw total energy: -8.415 eV per atom. The calculated density is 13.41 Mg/m³. As for the offset from the most stable computed form: 0.0 meV/atom.

Question: Look up the calculated density of the first one.
Answer: 17.42 Mg/m³

Question: What is the calculated density in the first record?
Answer: 17.42 Mg/m³